(1)
The following is a DFT calculation (GGA-PBEsol) of Ba3LiIr2O9 after structural relaxation.

Output
Formation energy from raw total energies ... -1.80 eV/atom

CIF file:
```
data_Ba3LiIr2O9
_chemical_formula_sum 'Ba6 Li2 Ir4 O18'
_symmetry_space_group_name_H-M 'P 63/m m c'
_symmetry_Int_Tables_number 194
_symmetry_space_group_name_Hall '-P 6c 2c'
_cell_length_a 5.7545
_cell_length_b 5.7545
_cell_length_c 14.1624
_cell_angle_alpha 90.00
_cell_angle_beta 90.00
_cell_angle_gamma 120.00
loop_
_atom_site_label
_atom_site_type_symbol
_atom_site_fract_x
_atom_site_fract_y
_atom_site_fract_z
_atom_site_occupancy
Ba1 Ba 0.0000 0.0000 0.2500 1
Ba2 Ba 0.3333 0.6667 0.0833 1
Li1 Li 0.0000 0.0000 0.0000 1
Ir1 Ir 0.3333 0.6667 0.6582 1
O1 O 0.0211 0.5105 0.7500 1
O2 O 0.1740 0.3479 0.5840 1
```

(2)
The following is a DFT calculation (GGA-PBEsol) of MgMnAg2 after structural relaxation.

Output
Calculated formation energy ... 0.11 eV/atom

CIF file:
```
data_MgMnAg2
_chemical_formula_sum 'Mg1 Mn1 Ag2'
_symmetry_space_group_name_H-M 'P 4/m m m'
_symmetry_Int_Tables_number 123
_symmetry_space_group_name_Hall '-P 4 2'
_cell_length_a 4.524
_cell_length_b 4.524
_cell_length_c 3.226
_cell_angle_alpha 90.00
_cell_angle_beta 90.00
_cell_angle_gamma 90.00
loop_
_atom_site_label
_atom_site_type_symbol
_atom_site_fract_x
_atom_site_fract_y
_atom_site_fract_z
_atom_site_occupancy
Mg1 Mg 0.000 0.000 0.000 1
Mn1 Mn 0.500 0.500 0.000 1
Ag1 Ag 0.000 0.500 0.500 1
```

(3)
The following is a DFT calculation (GGA-PBEsol) of Te3Pt after structural relaxation.

Output
Formation energy from raw total energies ... -0.03 eV/atom

CIF file:
```
data_Te3Pt
_chemical_formula_sum 'Te6 Pt2'
_symmetry_space_group_name_H-M 'I m m m'
_symmetry_Int_Tables_number 71
_symmetry_space_group_name_Hall '-I 2 2'
_cell_length_a 3.716
_cell_length_b 4.896
_cell_length_c 11.341
_cell_angle_alpha 90.00
_cell_angle_beta 90.00
_cell_angle_gamma 90.00
loop_
_atom_site_label
_atom_site_type_symbol
_atom_site_fract_x
_atom_site_fract_y
_atom_site_fract_z
_atom_site_occupancy
Te1 Te 0.000 0.000 0.000 1
Te2 Te 0.000 0.500 0.171 1
Pt1 Pt 0.000 0.000 0.500 1
```

(4)
The following is a DFT calculation (GGA-PBEsol) of Na2LiP3H8O13 after structural relaxation.

Output
E ... -6.046 eV per atom

CIF file:
```
data_Na2LiP3H8O13
_chemical_formula_sum 'Na4 Li2 P6 H16 O26'
_symmetry_space_group_name_H-M 'P -1'
_symmetry_Int_Tables_number 2
_cell_length_a 6.856
_cell_length_b 9.402
_cell_length_c 9.756
_cell_angle_alpha 94.80
_cell_angle_beta 104.47
_cell_angle_gamma 108.77
loop_
_symmetry_equiv_pos_as_xyz
'x,y,z'
'-x,-y,-z'
loop_
_atom_site_label
_atom_site_type_symbol
_atom_site_fract_x
_atom_site_fract_y
_atom_site_fract_z
_atom_site_occupancy
Na1 Na 0.056 0.450 0.336 1
Na2 Na 0.313 0.837 0.534 1
Li1 Li 0.116 0.234 0.114 1
P1 P 0.224 0.205 0.526 1
P2 P 0.308 0.270 0.834 1
P3 P 0.428 0.517 0.679 1
H1 H 0.040 0.949 0.139 1
H2 H 0.072 0.723 0.204 1
H3 H 0.194 0.062 0.285 1
H4 H 0.253 0.723 0.962 1
H5 H 0.257 0.821 0.842 1
H6 H 0.298 0.711 0.228 1
H7 H 0.405 0.059 0.181 1
H8 H 0.464 0.050 0.825 1
O1 O 0.028 0.226 0.437 1
O2 O 0.150 0.231 0.920 1
O3 O 0.153 0.742 0.880 1
O4 O 0.155 0.051 0.178 1
O5 O 0.182 0.165 0.678 1
O6 O 0.183 0.700 0.275 1
O7 O 0.267 0.579 0.599 1
O8 O 0.309 0.093 0.466 1
O9 O 0.335 0.440 0.805 1
O10 O 0.340 0.387 0.259 1
O11 O 0.424 0.366 0.583 1
O12 O 0.445 0.943 0.789 1
O13 O 0.477 0.748 0.115 1
```

(5)
The following is a DFT calculation (GGA-PBEsol) of TlTeCl2 after structural relaxation.

Output
Distance to the lowest polymorph of the same formula ... 0.0 meV per atom
Formation energy from raw total energies ... -0.38 eV/atom

CIF file:
```
data_TlTeCl2
_chemical_formula_sum 'Tl2 Te2 Cl4'
_symmetry_space_group_name_H-M 'I m m m'
_symmetry_Int_Tables_number 71
_symmetry_space_group_name_Hall '-I 2 2'
_cell_length_a 3.316
_cell_length_b 6.440
_cell_length_c 9.744
_cell_angle_alpha 90.00
_cell_angle_beta 90.00
_cell_angle_gamma 90.00
loop_
_atom_site_label
_atom_site_type_symbol
_atom_site_fract_x
_atom_site_fract_y
_atom_site_fract_z
_atom_site_occupancy
Tl1 Tl 0.000 0.000 0.000 1
Te1 Te 0.000 0.000 0.500 1
Cl1 Cl 0.000 0.500 0.233 1
```

(6)
The following is a DFT calculation (GGA-PBEsol) of NaHoGeO4 after structural relaxation.

Output
Formation energy from raw total energies ... -2.51 eV/atom

CIF file:
```
data_NaHoGeO4
_chemical_formula_sum 'Na4 Ho4 Ge4 O16'
_symmetry_space_group_name_H-M 'P n m a'
_symmetry_Int_Tables_number 62
_cell_length_a 11.367
_cell_length_b 6.387
_cell_length_c 5.259
_cell_angle_alpha 90.00
_cell_angle_beta 90.00
_cell_angle_gamma 90.00
loop_
_symmetry_equiv_pos_as_xyz
'x,y,z'
'-x,-y,-z'
'-x+1/2,-y,z+1/2'
'x+1/2,y,-z+1/2'
'x+1/2,-y+1/2,-z+1/2'
'-x+1/2,y+1/2,z+1/2'
'-x,y+1/2,-z'
'x,-y+1/2,z'
loop_
_atom_site_label
_atom_site_type_symbol
_atom_site_fract_x
_atom_site_fract_y
_atom_site_fract_z
_atom_site_occupancy
Na1 Na 0.000 0.000 0.000 1
Ho1 Ho 0.223 0.250 0.493 1
Ge1 Ge 0.098 0.750 0.553 1
O1 O 0.046 0.250 0.328 1
O2 O 0.112 0.750 0.224 1
O3 O 0.175 0.541 0.708 1
```

(7)
The following is a DFT calculation (GGA-PBEsol) of LaBe2Zn after structural relaxation.

Output
Calculated formation energy ... 0.17 eV/atom
Distance to the lowest polymorph of the same formula ... 0.0 meV per atom

CIF file:
```
data_LaBe2Zn
_chemical_formula_sum 'La2 Be4 Zn2'
_symmetry_space_group_name_H-M 'I m m m'
_symmetry_Int_Tables_number 71
_symmetry_space_group_name_Hall '-I 2 2'
_cell_length_a 4.306
_cell_length_b 4.811
_cell_length_c 6.450
_cell_angle_alpha 90.00
_cell_angle_beta 90.00
_cell_angle_gamma 90.00
loop_
_atom_site_label
_atom_site_type_symbol
_atom_site_fract_x
_atom_site_fract_y
_atom_site_fract_z
_atom_site_occupancy
La1 La 0.000 0.000 0.000 1
Be1 Be 0.000 0.500 0.209 1
Zn1 Zn 0.000 0.000 0.500 1
```

(8)
The following is a DFT calculation (GGA-PBEsol) of La2Ru after structural relaxation.

Output
Calculated formation energy ... -0.15 eV/atom

CIF file:
```
data_La2Ru
_chemical_formula_sum 'La2 Ru1'
_symmetry_space_group_name_H-M 'P -3 m 1'
_symmetry_Int_Tables_number 164
_symmetry_space_group_name_Hall '-P 3 2"'
_cell_length_a 4.0945
_cell_length_b 4.0945
_cell_length_c 6.3080
_cell_angle_alpha 90.00
_cell_angle_beta 90.00
_cell_angle_gamma 120.00
loop_
_atom_site_label
_atom_site_type_symbol
_atom_site_fract_x
_atom_site_fract_y
_atom_site_fract_z
_atom_site_occupancy
La1 La 0.3333 0.6667 0.2654 1
Ru1 Ru 0.0000 0.0000 0.5000 1
```

(9)
The following is a DFT calculation (GGA-PBEsol) of MgZnCd2 after structural relaxation.

Output
Calculated formation energy ... 0.02 eV/atom
Distance to the lowest polymorph of the same formula ... 46.0 meV per atom

CIF file:
```
data_MgZnCd2
_chemical_formula_sum 'Mg2 Zn2 Cd4'
_symmetry_space_group_name_H-M 'I m m m'
_symmetry_Int_Tables_number 71
_symmetry_space_group_name_Hall '-I 2 2'
_cell_length_a 3.211
_cell_length_b 4.849
_cell_length_c 10.055
_cell_angle_alpha 90.00
_cell_angle_beta 90.00
_cell_angle_gamma 90.00
loop_
_atom_site_label
_atom_site_type_symbol
_atom_site_fract_x
_atom_site_fract_y
_atom_site_fract_z
_atom_site_occupancy
Mg1 Mg 0.000 0.000 0.000 1
Zn1 Zn 0.000 0.000 0.500 1
Cd1 Cd 0.000 0.500 0.231 1
```

(10)
The following is a DFT calculation (GGA-PBEsol) of CaAg4Pb after structural relaxation.

Output
Calculated formation energy ... -0.23 eV/atom

CIF file:
```
data_CaAg4Pb
_chemical_formula_sum 'Ca4 Ag16 Pb4'
_symmetry_space_group_name_H-M 'F -4 3 m'
_symmetry_Int_Tables_number 216
_symmetry_space_group_name_Hall 'F -4 2 3'
_cell_length_a 7.858
_cell_length_b 7.858
_cell_length_c 7.858
_cell_angle_alpha 90.00
_cell_angle_beta 90.00
_cell_angle_gamma 90.00
loop_
_atom_site_label
_atom_site_type_symbol
_atom_site_fract_x
_atom_site_fract_y
_atom_site_fract_z
_atom_site_occupancy
Ca1 Ca 0.000 0.000 0.000 1
Ag1 Ag 0.125 0.125 0.625 1
Pb1 Pb 0.250 0.250 0.250 1
```

(11)
The following is a DFT calculation (GGA-PBEsol) of Dy2Fe17CN after structural relaxation.

Output
Formation energy from raw total energies ... -0.12 eV/atom

CIF file:
```
data_Dy2Fe17CN
_chemical_formula_sum 'Dy2 Fe17 C1 N1'
_symmetry_space_group_name_H-M 'P -1'
_symmetry_Int_Tables_number 2
_cell_length_a 6.308
_cell_length_b 6.328
_cell_length_c 6.380
_cell_angle_alpha 83.42
_cell_angle_beta 83.29
_cell_angle_gamma 83.00
loop_
_symmetry_equiv_pos_as_xyz
'x,y,z'
'-x,-y,-z'
loop_
_atom_site_label
_atom_site_type_symbol
_atom_site_fract_x
_atom_site_fract_y
_atom_site_fract_z
_atom_site_occupancy
Dy1 Dy 0.160 0.151 0.161 1
Fe1 Fe 0.000 0.500 0.500 1
Fe2 Fe 0.154 0.156 0.646 1
Fe3 Fe 0.154 0.648 0.160 1
Fe4 Fe 0.212 0.787 0.503 1
Fe5 Fe 0.215 0.501 0.784 1
Fe6 Fe 0.350 0.845 0.841 1
Fe7 Fe 0.403 0.404 0.405 1
Fe8 Fe 0.498 0.219 0.782 1
Fe9 Fe 0.500 0.000 0.500 1
Fe10 Fe 0.500 0.500 0.000 1
C1 C 0.000 0.500 0.000 1
N1 N 0.500 0.000 0.000 1
```

(12)
The following is a DFT calculation (GGA-PBEsol) of Zr2PW after structural relaxation.

Output
Calculated formation energy ... -0.19 eV/atom

CIF file:
```
data_Zr2PW
_chemical_formula_sum 'Zr4 P2 W2'
_symmetry_space_group_name_H-M 'C 1 2/m 1'
_symmetry_Int_Tables_number 12
_cell_length_a 8.857
_cell_length_b 3.511
_cell_length_c 4.738
_cell_angle_alpha 90.00
_cell_angle_beta 109.15
_cell_angle_gamma 90.00
loop_
_symmetry_equiv_pos_as_xyz
'x,y,z'
'-x,-y,-z'
'-x,y,-z'
'x,-y,z'
'x+1/2,y+1/2,z'
'-x+1/2,-y+1/2,-z'
'-x+1/2,y+1/2,-z'
'x+1/2,-y+1/2,z'
loop_
_atom_site_label
_atom_site_type_symbol
_atom_site_fract_x
_atom_site_fract_y
_atom_site_fract_z
_atom_site_occupancy
Zr1 Zr 0.237 0.000 0.228 1
P1 P 0.000 0.500 0.000 1
W1 W 0.000 0.000 0.500 1
```